A relaxed PmPt5Pb crystal. Source: the Alexandria database, functional PBE.

Summary:
- Density of states at the Fermi level: 0.73 states/eV/atom
- Theoretical density: 16.19 Mg/m³
- E_tot: -6.063 eV/atom
- Volume: 544.7 Å³/cell

Cell: 9.000 5.407 11.195 Å, 90.00 90.00 90.00°
Space group Pnma (No. 62)
Inequivalent atoms, fractional coordinates:
Pm  0.248  0.250  0.068 [4 per cell]
Pt  0.035  0.250  0.587 [4 per cell]
Pt  0.068  0.503  0.799 [8 per cell]
Pt  0.070  0.750  0.010 [4 per cell]
Pt  0.191  0.750  0.230 [4 per cell]
Pb  0.147  0.250  0.363 [4 per cell]

A relaxed NdEr4Zn crystal. Source: the Alexandria database, functional PBE.

Summary:
- Density of states at the Fermi level: 1.40 states/eV/atom
- Theoretical density: 8.50 Mg/m³
- E_tot: -4.144 eV/atom
- Volume: 171.7 Å³/cell

Cell: 3.546 3.546 13.655 Å, 90.00 90.00 90.00°
Space group P4/mmm (No. 123)
Inequivalent atoms, fractional coordinates:
Nd  0.000  0.000  0.000 [1 per cell]
Er  0.000  0.000  0.372 [2 per cell]
Er  0.500  0.500  0.187 [2 per cell]
Zn  0.500  0.500  0.500 [1 per cell]

A relaxed NpCrS3 crystal. Source: the Alexandria database, functional PBE.

Summary:
- Density of states at the Fermi level: 1.53 states/eV/atom
- Formation energy without anion corrections: -0.949 eV per atom
- Offset from the most stable computed form: 0.100 eV per atom
- Theoretical density: 7.13 Mg/m³
- E_tot: -7.938 eV/atom
- Volume: 179.4 Å³/cell

Cell: 6.700 3.588 7.548 Å, 90.00 98.59 90.00°
Space group P2_1/m (No. 11)
Inequivalent atoms, fractional coordinates:
Np  0.125  0.250  0.292 [2 per cell]
Cr  0.386  0.750  0.877 [2 per cell]
S  0.139  0.250  0.903 [2 per cell]
S  0.228  0.750  0.563 [2 per cell]
S  0.410  0.750  0.179 [2 per cell]

A relaxed LiYTmIn crystal. Source: the Alexandria database, functional PBE.

Summary:
- Density of states at the Fermi level: 0.78 states/eV/atom
- Theoretical density: 6.19 Mg/m³
- E_tot: -4.173 eV/atom
- Volume: 407.2 Å³/cell

Cell: 7.412 7.412 7.412 Å, 90.00 90.00 90.00°
Space group F-43m (No. 216)
Inequivalent atoms, fractional coordinates:
Li  0.000  0.000  0.000 [4 per cell]
Y  0.250  0.250  0.250 [4 per cell]
Tm  0.250  0.250  0.750 [4 per cell]
In  0.000  0.000  0.500 [4 per cell]